1.
## BaPmZn2Au2 (PBE)

Data for a geometry-optimized BaPmZn2Au2 structure.

Properties
The calculation puts the volume at 152.6 Å³/f.u. As for the formation energy: -0.613 eV per atom. For the theoretical density, the calculation gives 8.8 g/cm3. For the total magnetization, the calculation gives 0.00 μB/f.u.

Cell: 4.6730 4.6730 8.0714 Å, 90.00 90.00 120.00°
Closest atoms and distances in Å follow each position.
Space group P-3m1 (No. 164)
One atom of each set of equivalent atoms:
Ba 0.0000 0.0000 0.0000 x1  6 Zn 3.59, 6 Au 3.60
Pm 0.0000 0.0000 0.5000 x1  6 Au 3.16, 6 Zn 3.17
Zn 0.3333 0.6667 0.7064 x2  3 Au 2.70
Au 0.3333 0.6667 0.2955 x2  3 Zn 2.70



2.
## MnCrPb2 (PBE)

Data for a geometry-optimized MnCrPb2 structure.

Properties
The calculation puts the volume at 88.3 Å³/f.u. As for the formation energy: 0.562 eV per atom. For the theoretical density, the calculation gives 9.8 g/cm3. For the total magnetization, the calculation gives 7.64 μB/f.u.

Cell: 11.1984 3.3083 4.9423 Å, 90.00 105.32 90.00°
Closest atoms and distances in Å follow each position.
Space group Cm (No. 8)
One atom of each set of equivalent atoms:
Mn 0.0000 0.0000 0.0000 x2  7 Pb 2.96-3.18, 2 Cr 3.08, 2 Mn 3.31
Cr 0.2217 0.5000 0.3359 x2  7 Pb 2.96-3.20, 2 Mn 3.08, 2 Cr 3.31
Pb 0.2483 0.0000 0.8588 x2  4 Cr 2.96-3.02, 3 Mn 3.04-3.18, 2 Pb 3.31
Pb 0.4749 0.0000 0.4795 x2  4 Mn 2.96-3.01, 3 Cr 3.03-3.20, 2 Pb 3.31



3.
## Pr4AlCdHg2 (PBE)

Data for a geometry-optimized Pr4AlCdHg2 structure.

Properties
The calculation puts the volume at 228.7 Å³/f.u. As for the formation energy: -0.380 eV per atom. For the theoretical density, the calculation gives 8.0 g/cm3. For the total magnetization, the calculation gives 1.23 μB/f.u.

Cell: 5.4440 5.4440 26.7284 Å, 90.00 90.00 120.00°
Closest atoms and distances in Å follow each position.
Space group R-3m (No. 166, hexagonal axes)
One atom of each set of equivalent atoms:
Pr 0.0000 0.0000 0.1217 x6  1 Al 3.25, 4 Hg 3.28-3.36, 3 Cd 3.36
Pr 0.0000 0.0000 0.3719 x6  3 Al 3.31, 4 Hg 3.33-3.39, 1 Cd 3.42
Al 0.0000 0.0000 0.0000 x3  8 Pr 3.25-3.31
Cd 0.0000 0.0000 0.5000 x3  8 Pr 3.36-3.42
Hg 0.0000 0.0000 0.2473 x6  8 Pr 3.28-3.39



4.
## KY2Ag (PBE)

Data for a geometry-optimized KY2Ag structure.

Properties
The calculation puts the volume at 133.8 Å³/f.u. As for the formation energy: 0.146 eV per atom. For the theoretical density, the calculation gives 4.0 g/cm3. For the total magnetization, the calculation gives 0.03 μB/f.u.

Cell: 3.6721 3.6721 34.3697 Å, 90.00 90.00 120.00°
Closest atoms and distances in Å follow each position.
Space group R3m (No. 160, hexagonal axes)
One atom of each set of equivalent atoms:
K 0.0000 0.0000 0.0000 x3  3 Ag 3.51, 6 K 3.67
Y 0.0000 0.0000 0.2271 x3  9 Y 3.51-3.67
Y 0.0000 0.0000 0.4790 x3  3 Ag 3.07
Ag 0.0000 0.0000 0.7479 x3  3 Y 3.07